[1]
Entry from the Alexandria database: a geometry-optimized Ac3Tc2Ge9 structure (PBE).

Its excess energy over the best structure of this formula in the dataset is 0.00 eV/f.u. The theoretical density comes out at 8.1 g/cm3. The value obtained for the total energy is -79.2 eV per cell. The value obtained for the formation energy is -0.3307 eV per atom.

It has space group P-3m1 (No. 164), with a = 6.6975 Å, b = 6.6975 Å, c = 8.0948 Å, α = 90.00°, β = 90.00° and γ = 120.00°. The asymmetric unit holds Ac at (0.0000, 0.0000, 0.0000), Ac at (0.3333, 0.6667, 0.3447), Tc at (0.3333, 0.6667, 0.8295), Ge at (0.0000, 0.5000, 0.0000) and Ge at (0.1438, 0.2877, 0.6417).


[2]
Entry from the Alexandria database: a geometry-optimized NdSm6Cd2 structure (PBE).

Its excess energy over the best structure of this formula in the dataset is 0.00 eV/f.u. The theoretical density comes out at 7.4 g/cm3. The value obtained for the total energy is -72.2 eV per cell. The value obtained for the formation energy is -0.1309 eV per atom.

It has space group C2/m (No. 12), with a = 12.8599 Å, b = 3.8193 Å, c = 12.1614 Å, α = 90.00°, β = 108.42° and γ = 90.00°. The asymmetric unit holds Nd at (0.0000, 0.0000, 0.0000), Sm at (0.0169, 0.0000, 0.3401), Sm at (0.1850, 0.5000, 0.8760), Sm at (0.1886, 0.5000, 0.5854) and Cd at (0.1472, 0.5000, 0.2101).


[3]
Entry from the Alexandria database: a geometry-optimized CeTmPt6 structure (PBE).

The theoretical density comes out at 17.4 g/cm3. The value obtained for the total energy is -55.1 eV per cell. The value obtained for the formation energy is -1.0547 eV per atom.

It has space group P4/mmm (No. 123), with a = 4.1319 Å, b = 4.1319 Å, c = 8.2508 Å, α = 90.00°, β = 90.00° and γ = 90.00°. The asymmetric unit holds Ce at (0.0000, 0.0000, 0.0000), Tm at (0.0000, 0.0000, 0.5000), Pt at (0.0000, 0.5000, 0.2511), Pt at (0.5000, 0.5000, 0.0000) and Pt at (0.5000, 0.5000, 0.5000).


[4]
Entry from the Alexandria database: a geometry-optimized InRhPb2 structure (PBE).

The theoretical density comes out at 10.1 g/cm3. The value obtained for the total energy is -35.5 eV per cell. The value obtained for the formation energy is -0.0653 eV per atom.

It has space group Cm (No. 8), with a = 9.8067 Å, b = 3.3267 Å, c = 6.9073 Å, α = 90.00°, β = 112.59° and γ = 90.00°. The asymmetric unit holds In at (0.0000, 0.0000, 0.0000), Rh at (0.2787, 0.0000, 0.0020), Pb at (0.1342, 0.5000, 0.6482) and Pb at (0.3165, 0.5000, 0.3478).


[5]
Entry from the Alexandria database: a geometry-optimized SrCrMo2 structure (PBE).

Its excess energy over the best structure of this formula in the dataset is 1.81 eV/f.u. The theoretical density comes out at 7.3 g/cm3. The value obtained for the total energy is -57.0 eV per cell. The value obtained for the formation energy is 1.1171 eV per atom.

It has space group C2/m (No. 12), with a = 5.5297 Å, b = 10.0212 Å, c = 2.8015 Å, α = 90.00°, β = 103.99° and γ = 90.00°. The asymmetric unit holds Sr at (0.0000, 0.0000, 0.0000), Cr at (0.0000, 0.5000, 0.0000) and Mo at (0.2500, 0.2500, 0.5000).


[6]
Entry from the Alexandria database: a geometry-optimized InFeP2 structure (PBE).

The theoretical density comes out at 5.5 g/cm3. The value obtained for the total energy is -19.8 eV per cell. The value obtained for the formation energy is 0.5523 eV per atom.

It has space group Pmmm (No. 47), with a = 3.5898 Å, b = 3.7360 Å, c = 5.1987 Å, α = 90.00°, β = 90.00° and γ = 90.00°. The asymmetric unit holds In at (0.0000, 0.0000, 0.0000), Fe at (0.0000, 0.5000, 0.5000), P at (0.5000, 0.0000, 0.5000) and P at (0.5000, 0.5000, 0.0000).